FeNi3B | PBE-GGA | optimized geometry

Output
Calculated formation energy in eV per atom: -0.0734
Uncorrected energy in eV per cell: -131.40
Calculated volume in Å³/cell: 201
Density of states at the Fermi level in states/eV/f.u.: 5.0

```
FeNi3B
1.0
4.571 0.000 0.000
0.000 6.847 0.000
0.000 0.000 6.427
Fe Ni B
4 12 4
Direct
0.225 0.250 0.132 Fe
0.275 0.750 0.632 Fe
0.725 0.250 0.368 Fe
0.775 0.750 0.868 Fe
0.120 0.047 0.826 Ni
0.120 0.453 0.826 Ni
0.224 0.250 0.521 Ni
0.276 0.750 0.021 Ni
0.380 0.547 0.326 Ni
0.380 0.953 0.326 Ni
0.620 0.047 0.674 Ni
0.620 0.453 0.674 Ni
0.724 0.250 0.979 Ni
0.776 0.750 0.479 Ni
0.880 0.547 0.174 Ni
0.880 0.953 0.174 Ni
0.000 0.000 0.500 B
0.000 0.500 0.500 B
0.500 0.000 0.000 B
0.500 0.500 0.000 B
```


BaCuNi | PBE-GGA | optimized geometry

Output
Calculated formation energy in eV per atom: 0.9434
Uncorrected energy in eV per cell: -35.88
Calculated volume in Å³/cell: 375
Density of states at the Fermi level in states/eV/f.u.: 7.2

```
BaCuNi
1.0
7.211 0.000 0.000
0.000 7.211 0.000
0.000 0.000 7.211
Ba Cu Ni
4 4 4
Direct
0.000 0.000 0.000 Ba
0.000 0.500 0.500 Ba
0.500 0.000 0.500 Ba
0.500 0.500 0.000 Ba
0.250 0.250 0.250 Cu
0.250 0.750 0.750 Cu
0.750 0.250 0.750 Cu
0.750 0.750 0.250 Cu
0.250 0.250 0.750 Ni
0.250 0.750 0.250 Ni
0.750 0.250 0.250 Ni
0.750 0.750 0.750 Ni
```


Sc12Al3Tc | PBE-GGA | optimized geometry

Output
Calculated formation energy in eV per atom: -0.1827
Uncorrected energy in eV per cell: -100.50
Calculated volume in Å³/cell: 340
Density of states at the Fermi level in states/eV/f.u.: 20.3

```
Sc12Al3Tc
1.0
4.408 0.000 0.000
0.000 4.408 0.000
0.000 0.000 17.510
Sc Al Tc
12 3 1
Direct
0.000 0.000 0.000 Sc
0.000 0.000 0.246 Sc
0.000 0.000 0.500 Sc
0.000 0.000 0.754 Sc
0.000 0.500 0.115 Sc
0.000 0.500 0.373 Sc
0.000 0.500 0.627 Sc
0.000 0.500 0.885 Sc
0.500 0.000 0.115 Sc
0.500 0.000 0.373 Sc
0.500 0.000 0.627 Sc
0.500 0.000 0.885 Sc
0.500 0.500 0.248 Al
0.500 0.500 0.500 Al
0.500 0.500 0.752 Al
0.500 0.500 0.000 Tc
```


DyHoCd3 | PBE-GGA | optimized geometry

Output
Calculated formation energy in eV per atom: -0.2864
Uncorrected energy in eV per cell: -26.71
Calculated volume in Å³/cell: 252
Density of states at the Fermi level in states/eV/f.u.: 4.3

```
DyHoCd3
1.0
1.730 -14.728 0.000
1.730 14.728 0.000
0.000 0.000 4.949
Dy Ho Cd
2 2 6
Direct
0.075 0.925 0.750 Dy
0.925 0.075 0.250 Dy
0.216 0.784 0.250 Ho
0.784 0.216 0.750 Ho
0.325 0.675 0.250 Cd
0.379 0.621 0.750 Cd
0.476 0.524 0.750 Cd
0.524 0.476 0.250 Cd
0.621 0.379 0.250 Cd
0.675 0.325 0.750 Cd
```


TlCdRe2Te | PBE-GGA | optimized geometry

Output
Uncorrected energy in eV per cell: -21.81
Calculated volume in Å³/cell: 138
Density of states at the Fermi level in states/eV/f.u.: 3.7

```
TlCdRe2Te
1.0
4.968 0.000 0.000
0.000 4.968 0.000
0.000 0.000 5.594
Tl Cd Re Te
1 1 2 1
Direct
0.000 0.000 0.000 Tl
0.500 0.500 0.000 Cd
0.000 0.500 0.500 Re
0.500 0.000 0.500 Re
0.500 0.500 0.500 Te
```


Ca2Br2N | PBE-GGA | optimized geometry

Output
Uncorrected energy in eV per cell: -44.46
Calculated volume in Å³/cell: 274
Density of states at the Fermi level in states/eV/f.u.: 1.8

```
Ca2Br2N
1.0
-4.834 5.662 2.499
4.834 -5.662 2.499
4.834 5.662 -2.499
Ca Br N
4 4 2
Direct
0.106 0.159 0.265 Ca
0.394 0.659 0.054 Ca
0.606 0.341 0.946 Ca
0.894 0.841 0.735 Ca
0.132 0.665 0.797 Br
0.368 0.165 0.533 Br
0.632 0.835 0.467 Br
0.868 0.335 0.203 Br
0.250 0.250 0.000 N
0.750 0.750 0.000 N
```


Among the records above, which one has the lowest calculated volume?
TlCdRe2Te


Copy entry 5 word for word.
TlCdRe2Te | PBE-GGA | optimized geometry

Output
Uncorrected energy in eV per cell: -21.81
Calculated volume in Å³/cell: 138
Density of states at the Fermi level in states/eV/f.u.: 3.7

```
TlCdRe2Te
1.0
4.968 0.000 0.000
0.000 4.968 0.000
0.000 0.000 5.594
Tl Cd Re Te
1 1 2 1
Direct
0.000 0.000 0.000 Tl
0.500 0.500 0.000 Cd
0.000 0.500 0.500 Re
0.500 0.000 0.500 Re
0.500 0.500 0.500 Te
```


Which value of density of states at the Fermi level does entry 5 give?
3.7 states/eV/f.u.